# 1
A relaxed structure of Ga3SiSe. Source: the Alexandria database, functional PBE.

a b c (Å): 4.8490 4.8490 4.8490
angles (deg): 90.00 90.00 90.00
Last column: nearest neighbours and their distance in Å.
Positions (direct):
Se1 0.5000 0.5000 0.5000  12 Ga 3.43
Ga1 0.0000 0.0000 0.5000  2 Si 2.42
Ga2 0.5000 0.0000 0.0000  2 Si 2.42
Ga3 0.0000 0.5000 0.0000  2 Si 2.42
Si1 0.0000 0.0000 0.0000  6 Ga 2.42

Output
The theoretical density comes out at 4.6 Mg/m³. Its distance to the lowest polymorph of the same formula is 0 meV per atom. The final energy is -3.418 eV/atom.



# 2
A relaxed structure of CsSrVS4. Source: the Alexandria database, functional PBE.

a b c (Å): 6.8443 6.8836 9.5627
angles (deg): 90.00 107.51 90.00
Last column: nearest neighbours and their distance in Å.
Positions (direct):
Sr1 0.7666 0.7500 0.4561  6 S 3.02-3.14
Sr2 0.2334 0.2500 0.5439  6 S 3.02-3.14
S1 0.0024 0.9992 0.2839  1 V 2.16
S2 0.9976 0.0008 0.7161  1 V 2.16
S3 0.9976 0.4992 0.7161  1 V 2.16
S4 0.0024 0.5008 0.2839  1 V 2.16
S5 0.6011 0.2500 0.8150  1 V 2.16
S6 0.3834 0.7500 0.5528  1 V 2.15
S7 0.3989 0.7500 0.1850  1 V 2.16
S8 0.6166 0.2500 0.4472  1 V 2.15
Cs1 0.2799 0.2500 0.0681  8 S 3.63-3.75
Cs2 0.7201 0.7500 0.9319  8 S 3.63-3.75
V1 0.2044 0.7500 0.3257  4 S 2.15-2.16
V2 0.7956 0.2500 0.6743  4 S 2.15-2.16

Output
The theoretical density comes out at 3.1 Mg/m³. The final energy is -5.405 eV/atom.



# 3
A relaxed structure of AcEuHo2. Source: the Alexandria database, functional PBE.

a b c (Å): 3.6525 3.6525 13.0020
angles (deg): 81.93 81.93 60.00
Last column: nearest neighbours and their distance in Å.
Positions (direct):
Ac1 0.5000 0.5000 0.5000  6 Ac 3.65, 6 Ho 3.66
Ho1 0.0891 0.0891 0.7328  1 Eu 3.43, 6 Ho 3.65, 3 Ac 3.66
Ho2 0.9109 0.9109 0.2672  1 Eu 3.43, 6 Ho 3.65, 3 Ac 3.66
Eu1 0.0000 0.0000 0.0000  2 Ho 3.43, 6 Eu 3.65

Output
The theoretical density comes out at 7.9 Mg/m³. As for the formation energy: 0.2269 eV per atom. Its distance to the lowest polymorph of the same formula is 128 meV per atom. The final energy is -5.658 eV/atom.



# 4
A relaxed structure of Ca3GaGe6Pd2. Source: the Alexandria database, functional PBE.

a b c (Å): 5.9329 5.9329 8.4738
angles (deg): 90.00 90.00 120.00
Last column: nearest neighbours and their distance in Å.
Positions (direct):
Ge1 0.1865 0.8135 0.2690  2 Ge 2.61, 1 Pd 2.64, 1 Ga 2.74
Ge2 0.1865 0.3731 0.2690  2 Ge 2.61, 1 Pd 2.64, 1 Ga 2.74
Ge3 0.8135 0.6269 0.7310  2 Ge 2.61, 1 Pd 2.64, 1 Ga 2.74
Ge4 0.3731 0.1865 0.7310  2 Ge 2.61, 1 Pd 2.64, 1 Ga 2.74
Ge5 0.8135 0.1865 0.7310  2 Ge 2.61, 1 Pd 2.64, 1 Ga 2.74
Ge6 0.6269 0.8135 0.2690  2 Ge 2.61, 1 Pd 2.64, 1 Ga 2.74
Ga1 0.0000 0.0000 0.5000  6 Ge 2.74
Ca1 0.3333 0.6667 0.6083  9 Ge 3.15-3.25, 1 Pd 3.44
Ca2 0.6667 0.3333 0.3917  9 Ge 3.15-3.25, 1 Pd 3.44
Ca3 0.0000 0.0000 0.0000  6 Ge 2.98
Pd1 0.6667 0.3333 0.9862  3 Ge 2.64
Pd2 0.3333 0.6667 0.0138  3 Ge 2.64

Output
The theoretical density comes out at 5.4 Mg/m³. As for the formation energy: -0.2628 eV per atom. The final energy is -4.190 eV/atom.



# 5
A relaxed structure of Cd2SeS. Source: the Alexandria database, functional PBE.

a b c (Å): 3.9203 3.9203 7.1345
angles (deg): 74.05 74.05 60.00
Last column: nearest neighbours and their distance in Å.
Positions (direct):
S1 0.6688 0.6688 0.9935  6 Cd 2.76-2.81
Se1 0.4980 0.4980 0.5059  6 Cd 2.85-2.89
Cd1 0.2535 0.2535 0.2394  3 S 2.81, 3 Se 2.89
Cd2 0.0796 0.0796 0.7612  3 S 2.76, 3 Se 2.85

Output
The theoretical density comes out at 6.2 Mg/m³. Its distance to the lowest polymorph of the same formula is 224 meV per atom. The final energy is -2.767 eV/atom.



# 6
A relaxed structure of PaB2Mo2. Source: the Alexandria database, functional PBE.

a b c (Å): 3.2084 4.5444 5.1954
angles (deg): 100.36 107.99 90.00
Last column: nearest neighbours and their distance in Å.
Positions (direct):
B1 0.7292 0.0952 0.4584  2 B 1.90
B2 0.2708 0.9048 0.5416  2 B 1.90
Mo1 0.6601 0.5869 0.3202  4 B 2.28-2.46
Mo2 0.3399 0.4131 0.6798  4 B 2.28-2.46
Pa1 0.0000 0.0000 0.0000  6 B 2.74-2.79

Output
The theoretical density comes out at 10.4 Mg/m³. As for the formation energy: -0.3249 eV per atom. The final energy is -9.228 eV/atom.



# 7
A relaxed structure of LiAcCePr. Source: the Alexandria database, functional PBE.

a b c (Å): 5.6717 5.6717 5.6717
angles (deg): 60.00 60.00 60.00
Last column: nearest neighbours and their distance in Å.
Positions (direct):
Li1 0.5000 0.5000 0.5000  4 Pr 3.47, 4 Ac 3.47
Pr1 0.2500 0.2500 0.2500  4 Ce 3.47, 4 Li 3.47
Ce1 0.0000 0.0000 0.0000  4 Ac 3.47, 4 Pr 3.47
Ac1 0.7500 0.7500 0.7500  4 Li 3.47, 4 Ce 3.47

Output
The theoretical density comes out at 6.6 Mg/m³. As for the formation energy: 0.2712 eV per atom. The final energy is -3.913 eV/atom.



# 8
A relaxed structure of Pm5Y2ErTm. Source: the Alexandria database, functional PBE.

a b c (Å): 5.6467 10.5278 10.6514
angles (deg): 90.00 90.00 105.56
Last column: nearest neighbours and their distance in Å.
Positions (direct):
Y1 0.8878 0.7756 0.2369  1 Tm 3.41, 7 Pm 3.52-3.78, 2 Er 3.74
Y2 0.8855 0.7709 0.8116  9 Pm 3.37-3.70, 1 Tm 3.64
Y3 0.1145 0.2291 0.3116  9 Pm 3.37-3.70, 1 Tm 3.64
Y4 0.1122 0.2244 0.7369  1 Tm 3.41, 7 Pm 3.52-3.78, 2 Er 3.74
Pm1 0.4829 0.9658 0.7440  2 Er 3.22-3.35, 2 Y 3.52, 2 Pm 3.54-3.57
Pm2 0.7021 0.4042 0.2064  1 Er 3.42, 4 Pm 3.43-3.80, 3 Tm 3.51-3.81, 3 Y 3.52-3.78
Pm3 0.5171 0.0342 0.2440  2 Er 3.22-3.35, 2 Y 3.52, 2 Pm 3.54-3.57
Pm4 0.0176 0.0352 0.0176  2 Er 3.25, 3 Y 3.46-3.55
Pm5 0.3861 0.7721 0.0209  6 Pm 3.54-3.88, 4 Y 3.60-3.64, 1 Tm 3.79
Pm6 0.2979 0.5958 0.7064  1 Er 3.42, 4 Pm 3.43-3.80, 3 Tm 3.51-3.81, 3 Y 3.52-3.78
Pm7 0.9824 0.9648 0.5176  2 Er 3.25, 3 Y 3.46-3.55
Pm8 0.2805 0.5609 0.3122  1 Er 3.05, 1 Y 3.37
Pm9 0.6139 0.2279 0.5209  6 Pm 3.54-3.88, 4 Y 3.60-3.64, 1 Tm 3.79
Pm10 0.7195 0.4391 0.8122  1 Er 3.05, 1 Y 3.37
Tm1 0.8006 0.6012 0.5106  2 Y 3.41-3.64, 8 Pm 3.51-3.81, 2 Er 3.60
Tm2 0.1994 0.3988 0.0106  2 Y 3.41-3.64, 8 Pm 3.51-3.81, 2 Er 3.60
Er1 0.5918 0.1836 0.9637  5 Pm 3.05-3.35
Er2 0.4082 0.8164 0.4637  5 Pm 3.05-3.35

Output
The theoretical density comes out at 6.7 Mg/m³. As for the formation energy: 0.1416 eV per atom. The final energy is -4.938 eV/atom.



# 9
A relaxed structure of AlReCl3. Source: the Alexandria database, functional PBE.

a b c (Å): 4.9680 4.9680 4.9680
angles (deg): 90.00 90.00 90.00
Last column: nearest neighbours and their distance in Å.
Positions (direct):
Cl1 0.0000 0.0000 0.5000  2 Al 2.48
Cl2 0.5000 0.0000 0.0000  2 Al 2.48
Cl3 0.0000 0.5000 0.0000  2 Al 2.48
Re1 0.5000 0.5000 0.5000  12 Cl 3.51
Al1 0.0000 0.0000 0.0000  6 Cl 2.48

Output
The theoretical density comes out at 4.3 Mg/m³. Its distance to the lowest polymorph of the same formula is 259 meV per atom. The final energy is -3.849 eV/atom.



# 10
A relaxed structure of TbPm2As. Source: the Alexandria database, functional PBE.

a b c (Å): 3.9755 3.9755 9.7043
angles (deg): 78.18 78.18 60.00
Last column: nearest neighbours and their distance in Å.
Positions (direct):
Pm1 0.2707 0.2707 0.1879  3 As 2.90
Pm2 0.0628 0.0628 0.8114  3 As 2.91
Tb1 0.5000 0.5000 0.5000  6 Pm 3.73, 6 Tb 3.98
As1 0.6665 0.6665 0.0006  6 Pm 2.90-2.91

Output
The theoretical density comes out at 6.7 Mg/m³. As for the formation energy: -0.5972 eV per atom. Its distance to the lowest polymorph of the same formula is 0 meV per atom. The final energy is -5.292 eV/atom.



# 11
A relaxed structure of DyZrAg. Source: the Alexandria database, functional PBE.

a b c (Å): 3.3779 3.3779 6.6887
angles (deg): 104.63 104.63 90.00
Last column: nearest neighbours and their distance in Å.
Positions (direct):
Ag1 0.6750 0.6750 0.3500  4 Zr 3.01, 4 Dy 3.21
Dy1 0.0031 0.0031 0.0062  4 Ag 3.21, 4 Zr 3.29, 4 Dy 3.38
Zr1 0.3219 0.3219 0.6439  4 Ag 3.01, 4 Dy 3.29

Output
The theoretical density comes out at 8.4 Mg/m³. As for the formation energy: -0.0820 eV per atom. Its distance to the lowest polymorph of the same formula is 0 meV per atom. The final energy is -5.416 eV/atom.



# 12
A relaxed structure of KSmTe2. Source: the Alexandria database, functional PBE.

a b c (Å): 8.6623 8.6623 8.6623
angles (deg): 30.63 30.63 30.63
Last column: nearest neighbours and their distance in Å.
Positions (direct):
Te1 0.2374 0.2374 0.2374  3 Sm 3.17
Te2 0.7626 0.7626 0.7626  3 Sm 3.17
K1 0.0000 0.0000 0.0000  6 Te 3.55
Sm1 0.5000 0.5000 0.5000  6 Te 3.17

Output
The theoretical density comes out at 4.9 Mg/m³. The final energy is -4.437 eV/atom.



Repeat the twelfth record exactly.
A relaxed structure of KSmTe2. Source: the Alexandria database, functional PBE.

a b c (Å): 8.6623 8.6623 8.6623
angles (deg): 30.63 30.63 30.63
Last column: nearest neighbours and their distance in Å.
Positions (direct):
Te1 0.2374 0.2374 0.2374  3 Sm 3.17
Te2 0.7626 0.7626 0.7626  3 Sm 3.17
K1 0.0000 0.0000 0.0000  6 Te 3.55
Sm1 0.5000 0.5000 0.5000  6 Te 3.17

Output
The theoretical density comes out at 4.9 Mg/m³. The final energy is -4.437 eV/atom.